AcPu2CoO8 | PBE with a Hubbard U | relaxed

Results
* symmetry: I-4, No. 82
* D(E_F): 0.75 states/eV per atom
* calculated total energy: -8.88 eV per atom

The structure in extended XYZ format:
```
12
Lattice="-2.739 2.739 5.318 2.739 -2.739 5.318 2.739 2.739 -5.318" Properties=species:S:1:pos:R:3 pbc="T T T"
Ac 0.000 0.000 0.000
Pu 2.739 0.000 2.659
Pu 0.000 0.000 5.318
Co 0.000 2.739 2.659
O 1.596 1.326 -1.570
O 1.510 -0.999 4.147
O 1.740 1.229 1.170
O 1.412 -1.143 6.887
O 1.229 3.738 -1.170
O 1.143 1.412 3.748
O 1.326 3.881 1.570
O 0.999 1.510 6.488
```